Material: CeGe4Pt2
Method: DFT, PBE
State: optimized geometry

Unit cell a=7.9405 b=7.9405 c=4.2965 alpha=90.00 beta=90.00 gamma=90.00
Space group P4_2/mnm (No. 136)
Inequivalent atoms, fractional coordinates:
Ce 0.0000 0.0000 0.0000 (multiplicity 2)
Ge 0.0854 0.3218 0.5000 (multiplicity 8)
Pt 0.2130 0.7870 0.5000 (multiplicity 4)

Computed properties:
Energy relative to the lowest polymorph listed for this composition, meV/atom: 120.2
E_form, eV/atom: -0.5034
Calculated volume, Å³/f.u.: 135.5
Mass density, g/cm³: 10.1